PmDy3Y6Th2, optimized geometry, DFT PBE; size of the total moment = 0.00 μB per formula unit; total energy = -5.98 eV per atom
1.0
-5.369 -2.955 0.946
5.209 -2.133 2.602
-1.923 8.283 8.170
Pm Th Y Dy
1 2 6 3
Direct
0.000 0.000 0.000
0.333 0.667 0.000
0.667 0.333 0.000
0.254 0.254 0.751
0.084 0.421 0.249
0.421 0.084 0.249
0.916 0.579 0.751
0.579 0.916 0.751
0.746 0.746 0.249
0.166 0.834 0.500
0.500 0.500 0.500
0.834 0.166 0.500